Compound: Y5CuPd4
Source: Alexandria via LeMat-Bulk
Functional: PBE
Structure: optimized geometry

Output
Total magnetic moment, μB/atom: 0.000
ΔH_f (0 K), meV per atom: -745

Unit cell a=3.503 b=3.503 c=17.708 alpha=90.00 beta=90.00 gamma=90.00
Space group P4/mmm (No. 123)
Inequivalent atoms, fractional coordinates:
1 Y 0.000 0.000 0.000 x1
2 Y 0.000 0.000 0.201 x2
3 Y 0.000 0.000 0.401 x2
4 Cu 0.500 0.500 0.500 x1
5 Pd 0.500 0.500 0.101 x2
6 Pd 0.500 0.500 0.302 x2

=====

Compound: Sm3Ni7B2
Source: Alexandria via LeMat-Bulk
Functional: PBE
Structure: optimized geometry

Output
Total magnetic moment, μB/atom: 0.000
ΔH_f (0 K), meV per atom: -355

Unit cell a=5.2442 b=5.2442 c=7.1846 alpha=90.00 beta=90.00 gamma=120.00
Space group P-6m2 (No. 187)
Inequivalent atoms, fractional coordinates:
1 Sm 0.0000 0.0000 0.0000 x1
2 Sm 0.0000 0.0000 0.5000 x1
3 Sm 0.3333 0.6667 0.0000 x1
4 Ni 0.5047 0.0093 0.3099 x6
5 Ni 0.6667 0.3333 0.0000 x1
6 B 0.3333 0.6667 0.5000 x1
7 B 0.6667 0.3333 0.5000 x1

=====

Compound: CaAcBi2
Source: Alexandria via LeMat-Bulk
Functional: PBE
Structure: optimized geometry

Output
Total magnetic moment, μB/atom: 0.000
ΔH_f (0 K), meV per atom: -737
Distance to the lowest polymorph of the same formula, meV per atom: 40

Unit cell a=6.755 b=13.697 c=7.581 alpha=90.00 beta=124.12 gamma=90.00
Space group P2_1/c (No. 14)
Inequivalent atoms, fractional coordinates:
1 Ca 0.004 0.250 0.251 x4
2 Ac 0.494 0.555 0.247 x4
3 Bi 0.000 0.000 0.245 x4
4 Bi 0.497 0.702 0.750 x4

=====

Compound: CePmNd2P4
Source: Alexandria via LeMat-Bulk
Functional: PBE
Structure: optimized geometry

Output
Total magnetic moment, μB/atom: 0.053
ΔH_f (0 K), meV per atom: -1543

Unit cell a=7.160 b=4.137 c=7.163 alpha=90.00 beta=109.39 gamma=90.00
Space group P2/m (No. 10)
Inequivalent atoms, fractional coordinates:
1 Ce 0.000 0.000 0.000 x1
2 Pm 0.500 0.500 0.000 x1
3 Nd 0.000 0.500 0.500 x1
4 Nd 0.500 0.000 0.500 x1
5 P 0.245 0.500 0.244 x2
6 P 0.248 0.000 0.755 x2

=====

Compound: LaTbCo
Source: Alexandria via LeMat-Bulk
Functional: PBE
Structure: optimized geometry

Output
Total magnetic moment, μB/atom: 0.000
ΔH_f (0 K), meV per atom: -4
Distance to the lowest polymorph of the same formula, meV per atom: 135

Unit cell a=6.793 b=6.793 c=6.793 alpha=90.00 beta=90.00 gamma=90.00
Space group F-43m (No. 216)
Inequivalent atoms, fractional coordinates:
1 La 0.000 0.000 0.000 x4
2 Tb 0.000 0.000 0.500 x4
3 Co 0.250 0.250 0.750 x4

=====

Compound: Sr2MnInPb
Source: Alexandria via LeMat-Bulk
Functional: PBE
Structure: optimized geometry

Output
Total magnetic moment, μB/atom: 0.632
ΔH_f (0 K), meV per atom: 265

Unit cell a=6.228 b=6.228 c=5.058 alpha=90.00 beta=90.00 gamma=90.00
Space group P4/mmm (No. 123)
Inequivalent atoms, fractional coordinates:
1 Sr 0.000 0.500 0.000 x2
2 Mn 0.000 0.000 0.500 x1
3 In 0.000 0.000 0.000 x1
4 Pb 0.500 0.500 0.500 x1

=====

Compound: Mg2PaSn
Source: Alexandria via LeMat-Bulk
Functional: PBE
Structure: optimized geometry

Output
Total magnetic moment, μB/atom: 0.198
ΔH_f (0 K), meV per atom: 250
Distance to the lowest polymorph of the same formula, meV per atom: 306

Unit cell a=3.2026 b=3.2026 c=34.0374 alpha=90.00 beta=90.00 gamma=120.00
Space group R-3m (No. 166, hexagonal axes)
Inequivalent atoms, fractional coordinates:
1 Mg 0.0000 0.0000 0.0932 x6
2 Pa 0.0000 0.0000 0.0000 x3
3 Sn 0.0000 0.0000 0.5000 x3

=====

Compound: PmHo5Cu6
Source: Alexandria via LeMat-Bulk
Functional: PBE
Structure: optimized geometry

Output
Total magnetic moment, μB/atom: 0.000
ΔH_f (0 K), meV per atom: -249

Unit cell a=4.923 b=14.797 c=6.886 alpha=90.00 beta=90.00 gamma=90.00
Space group Cmmm (No. 65)
Inequivalent atoms, fractional coordinates:
1 Pm 0.000 0.000 0.000 x2
2 Ho 0.000 0.000 0.500 x2
3 Ho 0.000 0.332 0.000 x4
4 Ho 0.000 0.334 0.500 x4
5 Cu 0.000 0.170 0.252 x8
6 Cu 0.000 0.500 0.261 x4

=====

Compound: SbPO2F
Source: Alexandria via LeMat-Bulk
Functional: PBE
Structure: optimized geometry

Output
Total magnetic moment, μB/atom: 0.000
ΔE_f (raw), meV/atom: -563

Unit cell a=3.922 b=3.922 c=4.224 alpha=90.00 beta=90.00 gamma=90.00
Space group P4/mmm (No. 123)
Inequivalent atoms, fractional coordinates:
1 Sb 0.000 0.000 0.000 x1
2 P 0.500 0.500 0.500 x1
3 O 0.000 0.500 0.500 x2
4 F 0.500 0.500 0.000 x1

=====

Compound: La2MgMnAl
Source: Alexandria via LeMat-Bulk
Functional: PBE
Structure: optimized geometry

Output
Total magnetic moment, μB/atom: 0.000
ΔH_f (0 K), meV per atom: 7

Unit cell a=5.194 b=5.194 c=4.903 alpha=90.00 beta=90.00 gamma=90.00
Space group P4/mmm (No. 123)
Inequivalent atoms, fractional coordinates:
1 La 0.000 0.500 0.000 x2
2 Mg 0.000 0.000 0.500 x1
3 Mn 0.500 0.500 0.000 x1
4 Al 0.500 0.500 0.500 x1

=====

Compound: Ba2NpInS5
Source: Alexandria via LeMat-Bulk
Functional: PBE
Structure: optimized geometry

Output
Total magnetic moment, μB/atom: 0.438
ΔE_f (raw), meV/atom: -1484

Unit cell a=4.191 b=18.011 c=13.110 alpha=90.00 beta=90.00 gamma=90.00
Space group Cmc2_1 (No. 36)
Inequivalent atoms, fractional coordinates:
1 Ba 0.000 0.117 0.000 x4
2 Ba 0.000 0.136 0.601 x4
3 Np 0.000 0.210 0.308 x4
4 In 0.000 0.491 0.767 x4
5 S 0.000 0.054 0.355 x4
6 S 0.000 0.289 0.945 x4
7 S 0.000 0.307 0.672 x4
8 S 0.000 0.366 0.306 x4
9 S 0.000 0.496 0.081 x4

=====

Compound: CeErSi2
Source: Alexandria via LeMat-Bulk
Functional: PBE
Structure: optimized geometry

Output
Total magnetic moment, μB/atom: 0.140
Distance to the lowest polymorph of the same formula, meV per atom: 0
ΔE_f (raw), meV/atom: -719

Unit cell a=3.859 b=4.335 c=10.617 alpha=90.00 beta=90.00 gamma=90.00
Space group Amm2 (No. 38)
Inequivalent atoms, fractional coordinates:
1 Ce 0.000 0.000 0.000 x2
2 Er 0.500 0.000 0.279 x2
3 Si 0.000 0.000 0.716 x2
4 Si 0.500 0.000 0.567 x2

=====

Compound: RbVTe2
Source: Alexandria via LeMat-Bulk
Functional: PBE
Structure: optimized geometry

Output
Total magnetic moment, μB/atom: 0.000
ΔE_f (raw), meV/atom: -250

Unit cell a=3.465 b=3.465 c=8.765 alpha=90.00 beta=90.00 gamma=90.00
Space group P4/mmm (No. 123)
Inequivalent atoms, fractional coordinates:
1 Rb 0.000 0.000 0.000 x1
2 V 0.000 0.000 0.500 x1
3 Te 0.500 0.500 0.318 x2

=====

Compound: KCaAl2
Source: Alexandria via LeMat-Bulk
Functional: PBE
Structure: optimized geometry

Output
Total magnetic moment, μB/atom: 0.000
ΔH_f (0 K), meV per atom: 102
Distance to the lowest polymorph of the same formula, meV per atom: 3

Unit cell a=3.575 b=3.575 c=9.754 alpha=90.00 beta=90.00 gamma=90.00
Space group P4mm (No. 99)
Inequivalent atoms, fractional coordinates:
1 K 0.000 0.000 0.000 x1
2 Ca 0.500 0.500 0.608 x1
3 Al 0.000 0.000 0.399 x1
4 Al 0.500 0.500 0.267 x1

=====

Compound: Pa4Bi5H
Source: Alexandria via LeMat-Bulk
Functional: PBE
Structure: optimized geometry

Output
Total magnetic moment, μB/atom: 0.099
Total energy, eV for the cell shown: -120.7

Unit cell a=18.222 b=3.283 c=9.339 alpha=90.00 beta=99.61 gamma=90.00
Space group C2/m (No. 12)
Inequivalent atoms, fractional coordinates:
1 Pa 0.011 0.000 0.316 x4
2 Pa 0.139 0.500 0.569 x4
3 Bi 0.000 0.500 0.000 x2
4 Bi 0.159 0.000 0.885 x4
5 Bi 0.185 0.000 0.287 x4
6 H 0.000 0.500 0.500 x2

=====

Compound: Rb2ThNpS4
Source: Alexandria via LeMat-Bulk
Functional: PBE
Structure: optimized geometry

Output
Total magnetic moment, μB/atom: 0.617
ΔE_f (raw), meV/atom: -1522

Unit cell a=7.179 b=4.158 c=8.110 alpha=90.00 beta=107.26 gamma=90.00
Space group P2/m (No. 10)
Inequivalent atoms, fractional coordinates:
1 Rb 0.000 0.000 0.000 x1
2 Rb 0.500 0.500 0.000 x1
3 Th 0.000 0.500 0.500 x1
4 Np 0.500 0.000 0.500 x1
5 S 0.232 0.000 0.699 x2
6 S 0.268 0.500 0.306 x2

=====

Compound: Li2YBr
Source: Alexandria via LeMat-Bulk
Functional: PBE
Structure: optimized geometry

Output
Total magnetic moment, μB/atom: 0.000
Distance to the lowest polymorph of the same formula, meV per atom: 640
ΔE_f (raw), meV/atom: 106

Unit cell a=7.267 b=7.267 c=7.267 alpha=90.00 beta=90.00 gamma=90.00
Space group Fm-3m (No. 225)
Inequivalent atoms, fractional coordinates:
1 Li 0.250 0.250 0.250 x8
2 Y 0.000 0.000 0.000 x4
3 Br 0.000 0.000 0.500 x4

=====

Compound: PmHo2Ir2
Source: Alexandria via LeMat-Bulk
Functional: PBE
Structure: optimized geometry

Output
Total magnetic moment, μB/atom: 0.000
ΔH_f (0 K), meV per atom: -702
Distance to the lowest polymorph of the same formula, meV per atom: 31

Unit cell a=5.474 b=4.422 c=10.574 alpha=90.00 beta=98.24 gamma=90.00
Space group P2_1/m (No. 11)
Inequivalent atoms, fractional coordinates:
1 Pm 0.091 0.250 0.286 x2
2 Ho 0.251 0.250 0.971 x2
3 Ho 0.395 0.250 0.615 x2
4 Ir 0.155 0.750 0.476 x2
5 Ir 0.274 0.750 0.137 x2

=====

Compound: LaSc2W
Source: Alexandria via LeMat-Bulk
Functional: PBE
Structure: optimized geometry

Output
Total magnetic moment, μB/atom: 0.000
ΔH_f (0 K), meV per atom: 794

Unit cell a=4.340 b=4.340 c=20.740 alpha=90.00 beta=90.00 gamma=90.00
Space group I-42d (No. 122)
Inequivalent atoms, fractional coordinates:
1 La 0.000 0.000 0.000 x4
2 Sc 0.224 0.250 0.625 x8
3 W 0.000 0.000 0.500 x4

=====

Compound: Er7Tl5Bi
Source: Alexandria via LeMat-Bulk
Functional: PBE
Structure: optimized geometry

Output
Total magnetic moment, μB/atom: 0.000
ΔH_f (0 K), meV per atom: -165

Unit cell a=6.301 b=11.325 c=10.563 alpha=90.00 beta=90.00 gamma=90.00
Space group Imm2 (No. 44)
Inequivalent atoms, fractional coordinates:
1 Er 0.000 0.000 0.000 x2
2 Er 0.000 0.000 0.380 x2
3 Er 0.000 0.335 0.081 x4
4 Er 0.000 0.335 0.599 x4
5 Er 0.000 0.500 0.336 x2
6 Tl 0.000 0.500 0.836 x2
7 Tl 0.247 0.260 0.343 x8
8 Bi 0.000 0.000 0.677 x2

=====

Compound: Dy2Fe12Co5
Source: Alexandria via LeMat-Bulk
Functional: PBE
Structure: optimized geometry

Output
Total magnetic moment, μB/atom: 1.903
ΔH_f (0 K), meV per atom: -45

Unit cell a=8.4205 b=8.4205 c=12.3635 alpha=90.00 beta=90.00 gamma=120.00
Space group R-3m (No. 166, hexagonal axes)
Inequivalent atoms, fractional coordinates:
1 Dy 0.0000 0.0000 0.1562 x6
2 Fe 0.0000 0.2973 0.5000 x18
3 Fe 0.0053 0.5027 0.3416 x18
4 Co 0.0000 0.0000 0.4068 x6
5 Co 0.0000 0.5000 0.0000 x9

=====

Compound: CsSr2TmI8
Source: Alexandria via LeMat-Bulk
Functional: PBE
Structure: optimized geometry

Output
Total magnetic moment, μB/atom: 0.000
ΔE_f (raw), meV/atom: -1514

Unit cell a=7.472 b=7.783 c=10.300 alpha=89.95 beta=89.90 gamma=89.45
Space group P-1 (No. 2)
Inequivalent atoms, fractional coordinates:
1 Cs 0.000 0.000 0.000 x1
2 Sr 0.500 0.500 0.253 x2
3 Tm 0.000 0.000 0.500 x1
4 I 0.238 0.843 0.702 x2
5 I 0.239 0.844 0.298 x2
6 I 0.244 0.322 0.500 x2
7 I 0.261 0.395 0.000 x2

=====

Compound: K4Dy3TiS8
Source: Alexandria via LeMat-Bulk
Functional: PBE
Structure: optimized geometry

Output
Total magnetic moment, μB/atom: 0.063
ΔE_f (raw), meV/atom: -1716

Unit cell a=7.9308 b=7.9308 c=22.0440 alpha=90.00 beta=90.00 gamma=120.00
Space group R-3m (No. 166, hexagonal axes)
Inequivalent atoms, fractional coordinates:
1 K 0.0000 0.0000 0.0000 x3
2 K 0.0000 0.5000 0.0000 x9
3 Dy 0.0000 0.5000 0.5000 x9
4 Ti 0.0000 0.0000 0.5000 x3
5 S 0.0000 0.0000 0.2349 x6
6 S 0.0181 0.5090 0.2319 x18